{
  "formula": "Rb2ErP2S6",
  "functional": "PBE",
  "state": "relaxed",
  "cell": [[5.951, -3.460, 0.000], [5.951, 3.460, 0.000], [-3.803, 0.000, 7.117]],
  "species": ["Rb", "Rb", "Er", "P", "P", "S", "S", "S", "S", "S", "S"],
  "fractional_positions": [[0.213, 0.213, 0.192], [0.787, 0.787, 0.808], [0.000, 0.000, 0.500], [0.448, 0.448, 0.818], [0.552, 0.552, 0.182], [0.219, 0.709, 0.217], [0.251, 0.251, 0.628], [0.291, 0.781, 0.783], [0.709, 0.219, 0.217], [0.749, 0.749, 0.372], [0.781, 0.291, 0.783]],
  "m_tot_mub_per_fu": 0.00,
  "e_tot_ha_per_atom": -0.1731,
  "formation_energy_uncorrected_ev_per_fu": -9.72,
  "density_g_cm3": 3.36,
  "n_ef_per_ev_cell": 3.0
}